# 1
## PrNd2SnC (PBE)

Data for an optimized crystal structure of PrNd2SnC. Values from VASP.

Quantum ESPRESSO input file:
```
&SYSTEM
  ibrav = 0, nat = 5, ntyp = 4
/
ATOMIC_SPECIES
Nd 144.24 Nd.upf
Sn 118.71 Sn.upf
C 12.01 C.upf
Pr 140.91 Pr.upf
CELL_PARAMETERS angstrom
5.153 0.000 0.000
0.000 5.113 0.000
0.000 0.000 5.113
ATOMIC_POSITIONS crystal
Nd 0.000 0.000 0.500
Sn 0.500 0.500 0.500
Nd 0.000 0.500 0.000
C 0.000 0.000 0.000
Pr 0.500 0.000 0.000
```

Calculated values
**Calculated volume**: 134.72 Å³/cell
**Energy relative to the elements**: -0.459 eV/atom
**Uncorrected energy**: -5.967 eV per atom
**Crystal system**: tetragonal

***

# 2
## Pr2NdSnC (PBE)

Data for an optimized crystal structure of Pr2NdSnC. Values from VASP.

Quantum ESPRESSO input file:
```
&SYSTEM
  ibrav = 0, nat = 5, ntyp = 4
/
ATOMIC_SPECIES
Pr 140.91 Pr.upf
Nd 144.24 Nd.upf
C 12.01 C.upf
Sn 118.71 Sn.upf
CELL_PARAMETERS angstrom
5.115 0.000 0.000
0.000 5.156 0.000
0.000 0.000 5.156
ATOMIC_POSITIONS crystal
Pr 0.000 0.500 0.000
Pr 0.000 0.000 0.500
Nd 0.500 0.000 0.000
C 0.000 0.000 0.000
Sn 0.500 0.500 0.500
```

Calculated values
**Calculated volume**: 135.98 Å³/cell
**Energy relative to the elements**: -0.447 eV/atom
**Uncorrected energy**: -5.958 eV per atom
**Crystal system**: tetragonal

***

# 3
## Pr2NdTlC (PBE)

Data for an optimized crystal structure of Pr2NdTlC. Values from VASP.

Quantum ESPRESSO input file:
```
&SYSTEM
  ibrav = 0, nat = 5, ntyp = 4
/
ATOMIC_SPECIES
Pr 140.91 Pr.upf
Nd 144.24 Nd.upf
Tl 204.38 Tl.upf
C 12.01 C.upf
CELL_PARAMETERS angstrom
5.136 0.000 0.000
0.000 5.176 0.000
0.000 0.000 5.176
ATOMIC_POSITIONS crystal
Pr 0.000 0.000 0.500
Pr 0.000 0.500 0.000
Nd 0.500 0.000 0.000
Tl 0.500 0.500 0.500
C 0.000 0.000 0.000
```

Calculated values
**Calculated volume**: 137.61 Å³/cell
**Energy relative to the elements**: -0.259 eV/atom
**Uncorrected energy**: -5.443 eV per atom
**Crystal system**: tetragonal